Record 1
# Ta4TlPt | the Alexandria database | GGA-PBE | optimized geometry
data_Ta4TlPt
_cell_length_a 7.7386
_cell_length_b 7.7386
_cell_length_c 7.7386
_cell_angle_alpha 90.00
_cell_angle_beta 90.00
_cell_angle_gamma 90.00
_symmetry_space_group_name_H-M 'F -4 3 m'
_symmetry_Int_Tables_number 216
_symmetry_space_group_name_Hall 'F -4 2 3'
loop_
_atom_site_label
_atom_site_type_symbol
_atom_site_fract_x
_atom_site_fract_y
_atom_site_fract_z
Ta1 Ta 0.1241 0.1241 0.1241
Tl1 Tl 0.2500 0.2500 0.7500
Pt1 Pt 0.0000 0.0000 0.5000
# ΔE_f   0.389 eV per atom

---

Record 2
# LiMgAu14 | the Alexandria database | GGA-PBE | optimized geometry
data_LiMgAu14
_cell_length_a 5.9783
_cell_length_b 5.9783
_cell_length_c 7.9459
_cell_angle_alpha 90.00
_cell_angle_beta 90.00
_cell_angle_gamma 90.00
_symmetry_space_group_name_H-M 'P 4/m m m'
_symmetry_Int_Tables_number 123
_symmetry_space_group_name_Hall '-P 4 2'
loop_
_atom_site_label
_atom_site_type_symbol
_atom_site_fract_x
_atom_site_fract_y
_atom_site_fract_z
Li1 Li 0.0000 0.0000 0.0000
Mg1 Mg 0.5000 0.5000 0.0000
Au1 Au 0.0000 0.0000 0.5000
Au2 Au 0.0000 0.5000 0.0000
Au3 Au 0.0000 0.5000 0.5000
Au4 Au 0.2488 0.2488 0.2442
Au5 Au 0.5000 0.5000 0.5000
# ΔE_f   -0.184 eV per atom

---

Record 3
# K2ZrBr | the Alexandria database | GGA-PBE | optimized geometry
data_K2ZrBr
_cell_length_a 3.6142
_cell_length_b 6.4972
_cell_length_c 13.0813
_cell_angle_alpha 90.00
_cell_angle_beta 90.00
_cell_angle_gamma 90.00
_symmetry_space_group_name_H-M 'I m m 2'
_symmetry_Int_Tables_number 44
loop_
_symmetry_equiv_pos_as_xyz
'x,y,z'
'-x,-y,z'
'-x,y,z'
'x,-y,z'
'x+1/2,y+1/2,z+1/2'
'-x+1/2,-y+1/2,z+1/2'
'-x+1/2,y+1/2,z+1/2'
'x+1/2,-y+1/2,z+1/2'
loop_
_atom_site_label
_atom_site_type_symbol
_atom_site_fract_x
_atom_site_fract_y
_atom_site_fract_z
K1 K 0.0000 0.0000 0.0000
K2 K 0.0000 0.5000 0.1870
Zr1 Zr 0.0000 0.0000 0.3931
Br1 Br 0.0000 0.5000 0.7270
# Formation energy from raw total energies   0.043 eV per atom
# Polymorph energy (0 for the lowest one)   174 meV per atom

---

Record 4
# KLi2PtI | the Alexandria database | GGA-PBE | optimized geometry
data_KLi2PtI
_cell_length_a 4.9190
_cell_length_b 4.9190
_cell_length_c 5.8618
_cell_angle_alpha 90.00
_cell_angle_beta 90.00
_cell_angle_gamma 90.00
_symmetry_space_group_name_H-M 'P 4/m m m'
_symmetry_Int_Tables_number 123
_symmetry_space_group_name_Hall '-P 4 2'
loop_
_atom_site_label
_atom_site_type_symbol
_atom_site_fract_x
_atom_site_fract_y
_atom_site_fract_z
K1 K 0.0000 0.0000 0.0000
Li1 Li 0.0000 0.5000 0.5000
Pt1 Pt 0.5000 0.5000 0.5000
I1 I 0.5000 0.5000 0.0000
# Formation energy from raw total energies   -0.361 eV per atom

---

Record 5
# Er3Fe7Tc2 | the Alexandria database | GGA-PBE | optimized geometry
data_Er3Fe7Tc2
_cell_length_a 5.0583
_cell_length_b 5.0583
_cell_length_c 24.9668
_cell_angle_alpha 90.00
_cell_angle_beta 90.00
_cell_angle_gamma 120.00
_symmetry_space_group_name_H-M 'R -3 m'
_symmetry_Int_Tables_number 166
_symmetry_space_group_name_Hall '-R 3 2"'
loop_
_atom_site_label
_atom_site_type_symbol
_atom_site_fract_x
_atom_site_fract_y
_atom_site_fract_z
Er1 Er 0.0000 0.0000 0.0000
Er2 Er 0.0000 0.0000 0.1417
Fe1 Fe 0.0000 0.0000 0.5000
Fe2 Fe 0.0007 0.5003 0.0845
Tc1 Tc 0.0000 0.0000 0.3323
# ΔE_f   -0.087 eV per atom

---

Record 6
# K7Mg6 | the Alexandria database | GGA-PBE | optimized geometry
data_K7Mg6
_cell_length_a 7.6711
_cell_length_b 7.6711
_cell_length_c 35.6905
_cell_angle_alpha 90.00
_cell_angle_beta 90.00
_cell_angle_gamma 120.00
_symmetry_space_group_name_H-M 'R -3 m'
_symmetry_Int_Tables_number 166
_symmetry_space_group_name_Hall '-R 3 2"'
loop_
_atom_site_label
_atom_site_type_symbol
_atom_site_fract_x
_atom_site_fract_y
_atom_site_fract_z
K1 K 0.0000 0.0000 0.0000
K2 K 0.0145 0.5073 0.4158
Mg1 Mg 0.0000 0.0000 0.1643
Mg2 Mg 0.0000 0.0000 0.3640
Mg3 Mg 0.0000 0.0000 0.4554
# ΔE_f   0.380 eV per atom

---

Record 7
# Sr2TaMn | the Alexandria database | GGA-PBE | optimized geometry
data_Sr2TaMn
_cell_length_a 7.4709
_cell_length_b 7.4709
_cell_length_c 7.4709
_cell_angle_alpha 90.00
_cell_angle_beta 90.00
_cell_angle_gamma 90.00
_symmetry_space_group_name_H-M 'F m -3 m'
_symmetry_Int_Tables_number 225
_symmetry_space_group_name_Hall '-F 4 2 3'
loop_
_atom_site_label
_atom_site_type_symbol
_atom_site_fract_x
_atom_site_fract_y
_atom_site_fract_z
Sr1 Sr 0.2500 0.2500 0.2500
Ta1 Ta 0.0000 0.0000 0.0000
Mn1 Mn 0.0000 0.0000 0.5000
# Polymorph energy (0 for the lowest one)   1240 meV per atom
# ΔE_f   1.716 eV per atom

---

Record 8
# Nb2H2Au | the Alexandria database | GGA-PBE | optimized geometry
data_Nb2H2Au
_cell_length_a 3.6060
_cell_length_b 3.6060
_cell_length_c 9.1761
_cell_angle_alpha 90.00
_cell_angle_beta 90.00
_cell_angle_gamma 90.00
_symmetry_space_group_name_H-M 'I 4/m m m'
_symmetry_Int_Tables_number 139
_symmetry_space_group_name_Hall '-I 4 2'
loop_
_atom_site_label
_atom_site_type_symbol
_atom_site_fract_x
_atom_site_fract_y
_atom_site_fract_z
Nb1 Nb 0.0000 0.0000 0.1637
H1 H 0.0000 0.5000 0.2500
Au1 Au 0.0000 0.0000 0.5000
# Uncorrected energy   -0.4529 Ry/atom

---

Record 9
# LiHo2Zn3 | the Alexandria database | GGA-PBE | optimized geometry
data_LiHo2Zn3
_cell_length_a 6.6700
_cell_length_b 9.1489
_cell_length_c 15.9025
_cell_angle_alpha 90.00
_cell_angle_beta 90.00
_cell_angle_gamma 90.00
_symmetry_space_group_name_H-M 'F m m m'
_symmetry_Int_Tables_number 69
_symmetry_space_group_name_Hall '-F 2 2'
loop_
_atom_site_label
_atom_site_type_symbol
_atom_site_fract_x
_atom_site_fract_y
_atom_site_fract_z
Li1 Li 0.0000 0.0000 0.1668
Ho1 Ho 0.2483 0.0000 0.5000
Ho2 Ho 0.2500 0.2500 0.2500
Zn1 Zn 0.0000 0.0000 0.3334
Zn2 Zn 0.0000 0.2504 0.0837
# Polymorph energy (0 for the lowest one)   32 meV per atom
# ΔE_f   -0.240 eV per atom

---

Record 10
# Sr3Te2I2 | the Alexandria database | GGA-PBE | optimized geometry
data_Sr3Te2I2
_cell_length_a 17.4731
_cell_length_b 4.7023
_cell_length_c 8.3895
_cell_angle_alpha 90.00
_cell_angle_beta 115.40
_cell_angle_gamma 90.00
_symmetry_space_group_name_H-M 'C 1 2/m 1'
_symmetry_Int_Tables_number 12
loop_
_symmetry_equiv_pos_as_xyz
'x,y,z'
'-x,-y,-z'
'-x,y,-z'
'x,-y,z'
'x+1/2,y+1/2,z'
'-x+1/2,-y+1/2,-z'
'-x+1/2,y+1/2,-z'
'x+1/2,-y+1/2,z'
loop_
_atom_site_label
_atom_site_type_symbol
_atom_site_fract_x
_atom_site_fract_y
_atom_site_fract_z
Sr1 Sr 0.0000 0.0000 0.0000
Sr2 Sr 0.2332 0.5000 0.7485
Te1 Te 0.1355 0.5000 0.0040
I1 I 0.1271 0.0000 0.4491
# Formation energy from raw total energies   -1.667 eV per atom
# Polymorph energy (0 for the lowest one)   0 meV per atom

---

Record 11
# AlCrIn2B | the Alexandria database | GGA-PBE | optimized geometry
data_AlCrIn2B
_cell_length_a 5.1566
_cell_length_b 5.1566
_cell_length_c 4.0267
_cell_angle_alpha 90.00
_cell_angle_beta 90.00
_cell_angle_gamma 90.00
_symmetry_space_group_name_H-M 'P 4/m m m'
_symmetry_Int_Tables_number 123
_symmetry_space_group_name_Hall '-P 4 2'
loop_
_atom_site_label
_atom_site_type_symbol
_atom_site_fract_x
_atom_site_fract_y
_atom_site_fract_z
Al1 Al 0.0000 0.0000 0.0000
Cr1 Cr 0.5000 0.5000 0.5000
In1 In 0.0000 0.5000 0.5000
B1 B 0.5000 0.5000 0.0000
# ΔE_f   0.850 eV per atom

---

Record 12
# MnHgSe | the Alexandria database | GGA-PBE | optimized geometry
data_MnHgSe
_cell_length_a 2.9732
_cell_length_b 2.9732
_cell_length_c 6.2673
_cell_angle_alpha 90.00
_cell_angle_beta 90.00
_cell_angle_gamma 90.00
_symmetry_space_group_name_H-M 'P 4 m m'
_symmetry_Int_Tables_number 99
loop_
_symmetry_equiv_pos_as_xyz
'x,y,z'
'-y,x,z'
'-x,-y,z'
'y,-x,z'
'-x,y,z'
'y,x,z'
'x,-y,z'
'-y,-x,z'
loop_
_atom_site_label
_atom_site_type_symbol
_atom_site_fract_x
_atom_site_fract_y
_atom_site_fract_z
Mn1 Mn 0.0000 0.0000 0.0000
Hg1 Hg 0.5000 0.5000 0.3243
Se1 Se 0.5000 0.5000 0.8051
# Formation energy from raw total energies   0.117 eV per atom
# Polymorph energy (0 for the lowest one)   271 meV per atom

---

Number 1: calculated volume 19.3 Å³ per atom. Number 2: calculated volume 17.7 Å³ per atom. Number 3: calculated volume 38.4 Å³ per atom. Number 4: calculated volume 28.4 Å³ per atom. Number 5: calculated volume 15.4 Å³ per atom. Number 6: calculated volume 46.6 Å³ per atom. Number 7: calculated volume 26.1 Å³ per atom. Number 8: calculated volume 11.9 Å³ per atom. Number 9: calculated volume 20.2 Å³ per atom. Number 10: calculated volume 44.5 Å³ per atom. Number 11: calculated volume 21.4 Å³ per atom. Number 12: calculated volume 18.5 Å³ per atom.